Entry 1:
{"formula": "YMn2Br", "functional": "GGA-PBE", "state": "relaxed", "relative_energy_ev_per_fu": 1.96, "final_energy_ry_per_atom": -0.457, "raw_formation_energy_mev_per_atom": 397, "space_group": "F-43m, No. 216", "total_magnetization_mub_per_cell": 7.70, "lattice_angstrom": [[-4.621, 0.944, -1.490], [-1.218, -0.526, -4.765], [-2.953, -3.712, -1.402]], "species": ["Mn", "Y", "Mn", "Br"], "fractional_positions": [[0.000, 0.000, 0.000], [0.750, 0.750, 0.750], [0.250, 0.250, 0.250], [0.500, 0.500, 0.500]]}

=====

Entry 2:
{"formula": "VIr3Ru", "functional": "GGA-PBE", "state": "relaxed", "relative_energy_ev_per_fu": 1.75, "final_energy_ry_per_atom": -0.645, "space_group": "Pmma, No. 51", "formation_energy_kj_per_mol_atoms": 22, "total_magnetization_mub_per_cell": 0.00, "lattice_angstrom": [[2.676, 0.000, 0.000], [0.000, 5.301, 0.000], [0.000, 0.000, 10.751]], "species": ["Ru", "V", "V", "Ir", "Ir", "Ir", "Ir", "Ir", "Ru", "Ir"], "fractional_positions": [[0.000, 0.250, 0.808], [0.500, 0.250, 0.197], [0.500, 0.750, 0.803], [0.500, 0.491, 0.620], [0.500, 0.500, 0.000], [0.500, 0.009, 0.620], [0.500, 0.509, 0.380], [0.500, 0.991, 0.380], [0.000, 0.750, 0.192], [0.500, 0.000, 0.000]]}

=====

Entry 3:
{"formula": "Tb3Ce4DyTe8", "functional": "GGA-PBE", "state": "relaxed", "final_energy_ry_per_atom": -0.408, "raw_formation_energy_mev_per_atom": -1347, "space_group": "R-3m, No. 166", "total_magnetization_mub_per_cell": 4.99, "lattice_angstrom": [[8.791, 0.000, 0.000], [0.000, 8.928, 0.094], [-4.395, -4.389, 6.217]], "species": ["Ce", "Tb", "Ce", "Tb", "Te", "Te", "Tb", "Ce", "Te", "Te", "Te", "Dy", "Ce", "Te", "Te", "Te"], "fractional_positions": [[0.500, 0.000, 0.500], [0.500, 0.500, 0.500], [0.500, 0.000, 0.000], [0.000, 0.500, 0.500], [0.754, 0.260, 0.007], [0.253, 0.260, 0.007], [0.500, 0.500, 0.000], [0.000, 0.000, 0.500], [0.747, 0.740, 0.993], [0.246, 0.740, 0.993], [0.253, 0.260, 0.507], [0.000, 0.500, 0.000], [0.000, 0.000, 0.000], [0.246, 0.740, 0.492], [0.754, 0.260, 0.508], [0.747, 0.740, 0.493]]}

=====

Entry 4:
{"formula": "Tb2PPt", "functional": "GGA-PBE", "state": "relaxed", "final_energy_ry_per_atom": -0.420, "space_group": "R-3m, No. 166", "formation_energy_kj_per_mol_atoms": -52, "total_magnetization_mub_per_cell": 0.00, "lattice_angstrom": [[-1.486, -1.368, -3.231], [-0.569, -3.746, -0.399], [-8.537, -0.859, 2.045]], "species": ["Tb", "Pt", "Tb", "P"], "fractional_positions": [[0.103, 0.103, 0.690], [0.000, 0.000, 0.000], [0.897, 0.897, 0.310], [0.500, 0.500, 0.500]]}

=====

Entry 5:
{"formula": "Na2Li2ZrO4", "functional": "GGA-PBE", "state": "relaxed", "final_energy_ry_per_atom": -0.452, "raw_formation_energy_mev_per_atom": -2272, "space_group": "C2/m, No. 12", "total_magnetization_mub_per_cell": 0.00, "lattice_angstrom": [[-2.084, -2.334, 0.918], [5.122, -5.497, -2.350], [-0.053, 4.248, 4.888]], "species": ["O", "Li", "Zr", "O", "O", "Li", "Na", "Na", "O"], "fractional_positions": [[0.784, 0.872, 0.568], [0.657, 0.930, 0.313], [0.000, 0.000, 0.000], [0.438, 0.761, 0.876], [0.216, 0.128, 0.432], [0.343, 0.070, 0.687], [0.825, 0.432, 0.650], [0.175, 0.568, 0.350], [0.562, 0.239, 0.124]]}

=====

Entry 6:
{"formula": "Na2Mg2P", "functional": "GGA-PBE", "state": "relaxed", "relative_energy_ev_per_fu": 1.45, "final_energy_ry_per_atom": -0.151, "space_group": "P4/mbm, No. 127", "formation_energy_kj_per_mol_atoms": 19, "total_magnetization_mub_per_cell": 0.00, "lattice_angstrom": [[6.945, 0.000, 0.000], [0.000, 6.945, 0.000], [0.000, 0.000, 5.092]], "species": ["Na", "Na", "P", "Na", "Mg", "Mg", "Mg", "Na", "P", "Mg"], "fractional_positions": [[0.643, 0.143, 0.000], [0.143, 0.357, 0.000], [0.000, 0.000, 0.000], [0.857, 0.643, 0.000], [0.677, 0.823, 0.500], [0.823, 0.323, 0.500], [0.177, 0.677, 0.500], [0.357, 0.857, 0.000], [0.500, 0.500, 0.000], [0.323, 0.177, 0.500]]}

=====

Entry 7:
{"formula": "InCuBiF2", "functional": "GGA-PBE", "state": "relaxed", "final_energy_ry_per_atom": -0.265, "raw_formation_energy_mev_per_atom": -715, "space_group": "P4/mmm, No. 123", "total_magnetization_mub_per_cell": 0.35, "lattice_angstrom": [[4.191, 0.000, 0.000], [0.000, 5.522, 0.000], [0.000, 0.000, 4.191]], "species": ["F", "Cu", "In", "Bi", "F"], "fractional_positions": [[0.000, 0.000, 0.500], [0.000, 0.000, 0.000], [0.000, 0.500, 0.000], [0.500, 0.500, 0.500], [0.500, 0.000, 0.000]]}

=====

Entry 8:
{"formula": "Zr2ScPb", "functional": "GGA-PBE", "state": "relaxed", "final_energy_ry_per_atom": -0.500, "space_group": "R3m, No. 160", "formation_energy_kj_per_mol_atoms": -2, "total_magnetization_mub_per_cell": 0.00, "lattice_angstrom": [[3.320, 0.000, 0.000], [1.660, 2.875, 0.000], [1.660, 0.958, 10.205]], "species": ["Sc", "Zr", "Pb", "Zr"], "fractional_positions": [[0.500, 0.500, 0.500], [0.249, 0.249, 0.254], [0.667, 0.667, 0.000], [0.085, 0.085, 0.746]]}

=====

Entry 9:
{"formula": "TlGa2As2", "functional": "GGA-PBE", "state": "relaxed", "relative_energy_ev_per_fu": 0.93, "final_energy_ry_per_atom": -0.253, "space_group": "P4/mbm, No. 127", "formation_energy_kj_per_mol_atoms": 10, "total_magnetization_mub_per_cell": 0.00, "lattice_angstrom": [[-1.671, -8.140, -0.051], [0.288, -0.007, -8.304], [3.104, -0.638, 0.108]], "species": ["As", "Tl", "Ga", "Ga", "As", "Ga", "As", "As", "Tl", "Ga"], "fractional_positions": [[0.843, 0.657, 0.000], [0.000, 0.000, 0.000], [0.361, 0.139, 0.500], [0.639, 0.861, 0.500], [0.343, 0.843, 0.000], [0.861, 0.361, 0.500], [0.657, 0.157, 0.000], [0.157, 0.343, 0.000], [0.500, 0.500, 0.000], [0.139, 0.639, 0.500]]}

=====

Entry 10:
{"formula": "TiTc2Ag", "functional": "GGA-PBE", "state": "relaxed", "relative_energy_ev_per_fu": 0.94, "final_energy_ry_per_atom": -0.536, "space_group": "I-42d, No. 122", "formation_energy_kj_per_mol_atoms": 56, "total_magnetization_mub_per_cell": 0.00, "lattice_angstrom": [[-0.882, -2.801, -2.475], [-0.875, -2.317, 2.934], [-9.794, 0.479, -0.031]], "species": ["Tc", "Tc", "Ag", "Ti", "Ag", "Tc", "Ti", "Tc"], "fractional_positions": [[0.375, 0.435, 0.750], [0.875, 0.815, 0.750], [0.000, 0.000, 0.000], [0.250, 0.750, 0.500], [0.750, 0.250, 0.500], [0.565, 0.125, 0.250], [0.500, 0.500, 0.000], [0.185, 0.625, 0.250]]}